# SnPb3Cl8

An optimized crystal structure of SnPb3Cl8 (PBE-GGA, the Alexandria database).

Space group = P1
ΔE_f (raw) = -13.089 eV per formula unit
ρ = 3.62 g/cm3
DOS at the Fermi energy = 0.00 states/eV/cell

Cell lengths 5.7454, 9.6453, 9.6351 Å; angles 109.68, 109.26, 90.67 degrees
Sites, in units of the cell vectors:
Cl 0.3343 0.9825 0.7468
Cl 0.8172 0.6574 0.5399
Cl 0.4254 0.6170 0.8882
Cl 0.1670 0.7260 0.3036
Cl 0.5499 0.3791 0.1172
Cl 0.2248 0.3250 0.4639
Cl 0.6167 0.0014 0.2250
Cl 0.8575 0.2792 0.7113
Sn 0.3080 0.7052 0.6016
Pb 0.6162 0.7082 0.2192
Pb 0.6939 0.2935 0.3967
Pb 0.3874 0.2952 0.7831

---

# Sc2CuOs

An optimized crystal structure of Sc2CuOs (PBE-GGA, the Alexandria database).

Space group = Imm2
ΔE_f = -201 meV per atom
ρ = 8.23 g/cm3
DOS at the Fermi energy = 2.76 states/eV/cell

Cell lengths 5.4894, 5.4894, 5.4894 Å; angles 145.36, 131.84, 60.67 degrees
Sites, in units of the cell vectors:
Os 0.2607 0.7607 0.5000
Sc 0.0241 0.0241 0.0000
Sc 0.7374 0.2374 0.5000
Cu 0.4778 0.4778 0.0000